No. 1
The following is a DFT calculation (PBE) of Pm2Sm2Sc after structural relaxation.

Properties
**SG**: C2/c
**E_form**: 0.14 eV/atom

The structure in POSCAR format:
```
Pm2Sm2Sc
1.0
6.070 0.810 -1.692
-1.697 5.911 -1.594
-0.632 -0.723 9.105
Pm Sm Sc
4 4 2
Direct
0.436 0.366 0.156
0.210 0.780 0.344
0.564 0.634 0.844
0.790 0.220 0.656
0.864 0.238 0.045
0.192 0.319 0.455
0.136 0.762 0.955
0.808 0.681 0.545
0.677 0.927 0.250
0.323 0.073 0.750
```


No. 2
The following is a DFT calculation (PBE) of Ce7Bi2Rh2 after structural relaxation.

Properties
**SG**: Imm2
**E_form**: -0.47 eV/atom

The structure in POSCAR format:
```
Ce7Bi2Rh2
1.0
-0.773 0.025 -3.799
-5.261 -8.102 -0.961
-9.688 0.619 -0.002
Ce Bi Rh
7 2 2
Direct
0.820 0.076 0.283
0.846 0.424 0.884
0.500 0.026 0.974
0.638 0.467 0.258
0.362 0.742 0.533
0.180 0.717 0.924
0.154 0.116 0.576
0.000 0.754 0.246
0.500 0.361 0.639
0.724 0.862 0.690
0.276 0.310 0.138
```


No. 3
The following is a DFT calculation (PBE) of AcScHg after structural relaxation.

Properties
**SG**: I4mm
**E_form**: -0.23 eV/atom

The structure in POSCAR format:
```
AcScHg
1.0
-1.626 -0.866 -3.270
1.787 -3.300 -0.015
-4.933 -0.559 4.755
Sc Ac Hg
1 1 1
Direct
0.303 0.303 0.605
0.003 0.003 0.005
0.695 0.695 0.389
```


No. 4
The following is a DFT calculation (PBE) of Te4W5 after structural relaxation.

Properties
**SG**: P6_3/mcm
**Energy relative to the elements, uncorrected**: 1.090 eV/atom

The structure in POSCAR format:
```
Te4W5
1.0
8.373 0.000 0.000
-4.187 7.251 0.000
0.000 0.000 5.703
Te W
8 10
Direct
0.000 0.000 0.000
0.000 0.000 0.500
0.000 0.355 0.250
0.645 0.645 0.250
0.355 0.000 0.250
0.000 0.645 0.750
0.355 0.355 0.750
0.645 0.000 0.750
0.000 0.668 0.250
0.332 0.332 0.250
0.668 0.000 0.250
0.000 0.332 0.750
0.668 0.668 0.750
0.332 0.000 0.750
0.667 0.333 0.000
0.333 0.667 0.500
0.333 0.667 0.000
0.667 0.333 0.500
```


No. 5
The following is a DFT calculation (PBE) of Pu3CoP2 after structural relaxation.

Properties
**SG**: Pnma
**E_form**: -0.78 eV/atom

The structure in POSCAR format:
```
Pu3CoP2
1.0
3.945 0.000 0.000
0.000 10.316 0.000
0.000 0.000 11.342
Pu Co P
12 4 8
Direct
0.250 0.399 0.048
0.750 0.601 0.952
0.750 0.899 0.452
0.250 0.101 0.548
0.250 0.729 0.221
0.750 0.271 0.779
0.750 0.229 0.279
0.250 0.771 0.721
0.250 0.440 0.381
0.750 0.560 0.619
0.750 0.940 0.119
0.250 0.060 0.881
0.250 0.147 0.127
0.750 0.853 0.873
0.750 0.647 0.373
0.250 0.353 0.627
0.250 0.698 0.476
0.750 0.302 0.524
0.750 0.198 0.024
0.250 0.802 0.976
0.250 0.017 0.296
0.750 0.983 0.704
0.750 0.517 0.204
0.250 0.483 0.796
```


No. 6
The following is a DFT calculation (PBE) of YCo2Br after structural relaxation.

Properties
**SG**: C2/m
**Energy relative to the elements, uncorrected**: 0.069 eV/atom

The structure in POSCAR format:
```
YCo2Br
1.0
-4.869 -1.539 1.403
-4.624 -1.396 -2.169
2.435 -4.548 -0.015
Br Co Y
1 2 1
Direct
0.250 0.250 0.250
0.040 0.040 0.865
0.460 0.460 0.635
0.750 0.750 0.750
```


No. 7
The following is a DFT calculation (PBE) of AcInCuBi after structural relaxation.

Properties
**SG**: F-43m
**E_form**: -0.14 eV/atom

The structure in POSCAR format:
```
AcInCuBi
1.0
5.434 0.000 0.000
2.717 4.706 0.000
2.717 1.569 4.436
Ac Bi Cu In
1 1 1 1
Direct
0.250 0.250 0.250
0.750 0.750 0.750
0.500 0.500 0.500
0.000 0.000 0.000
```


No. 8
The following is a DFT calculation (PBE) of Ba2InGe4Au3 after structural relaxation.

Properties
**SG**: P-4m2
**E_form**: -0.48 eV/atom

The structure in POSCAR format:
```
Ba2InGe4Au3
1.0
-3.624 1.384 2.588
-2.924 -2.043 -3.003
0.578 -9.424 5.849
Ba In Ge Au
2 1 4 3
Direct
0.500 0.000 0.242
0.000 0.500 0.758
0.500 0.500 0.500
0.500 0.500 0.000
0.000 0.000 0.000
0.500 0.000 0.643
0.000 0.500 0.357
0.000 0.000 0.500
0.500 0.000 0.879
0.000 0.500 0.121
```